First-principles (GGA-PBEsol) data for crystalline YMoIr3 at its relaxed geometry, as listed in Alexandria.

Output
* formation energy from the elements: 0.709 eV per atom
* spin magnetization: 0.00 Bohr magnetons per cell

Lattice parameters (Å, degrees): 4.685 4.685 4.685 90.00 90.00 90.00
Positions (direct):
Mo 0.000 0.000 0.000
Y 0.500 0.500 0.500
Ir 0.500 0.000 0.000
Ir 0.000 0.000 0.500
Ir 0.000 0.500 0.000



First-principles (GGA-PBEsol) data for crystalline TbNi4P2 at its relaxed geometry, as listed in Alexandria.

Output
* formation energy from the elements: -0.899 eV per atom
* spin magnetization: 0.00 Bohr magnetons per cell

Lattice parameters (Å, degrees): 3.570 7.003 7.003 90.00 90.00 90.00
Positions (direct):
Ni 0.500 0.162 0.585
Ni 0.500 0.585 0.162
Ni 0.000 0.915 0.662
Ni 0.000 0.338 0.085
Ni 0.500 0.415 0.838
Ni 0.000 0.085 0.338
Ni 0.500 0.838 0.415
Ni 0.000 0.662 0.915
P 0.000 0.220 0.780
P 0.000 0.780 0.220
P 0.500 0.720 0.720
P 0.500 0.280 0.280
Tb 0.000 0.500 0.500
Tb 0.500 0.000 0.000



First-principles (GGA-PBEsol) data for crystalline Li2CuNi at its relaxed geometry, as listed in Alexandria.

Output
* energy relative to the lowest polymorph listed for this composition: 56 meV/atom
* formation energy from the elements: 0.071 eV per atom
* spin magnetization: 0.00 Bohr magnetons per cell

Lattice parameters (Å, degrees): 2.469 2.469 8.591 90.00 90.00 110.35
Positions (direct):
Ni 0.000 0.000 0.492
Li 0.000 0.000 0.024
Li 0.500 0.500 0.720
Cu 0.500 0.500 0.264